Record 1
ZnInSn | Alexandria | PBE | relaxed; calculated total energy = -2.60 eV/atom; formation energy from the elements = 0.072 eV per atom; symmetry = F-43m (216); size of the total moment = 0.000 μB per atom
1.0
-3.146 3.372 1.075
-2.505 2.083 -3.437
-4.637 -0.870 -0.410
Zn Sn In
1 1 1
Cartesian
-2.572 1.146 -0.693 Zn
-5.144 2.293 -1.386 Sn
0.000 0.000 0.000 In



Record 2
ZnIn8Sn2 | Alexandria | PBE | relaxed; calculated total energy = -2.79 eV/atom; formation energy from the elements = 0.041 eV per atom; symmetry = C2/m (12); size of the total moment = 0.000 μB per atom
1.0
5.035 0.000 -1.441
-0.169 6.422 -0.589
-0.128 -0.198 9.068
Zn In Sn
1 8 2
Cartesian
2.517 0.000 -0.721 Zn
1.870 3.588 6.530 In
3.118 5.664 1.376 In
3.795 2.056 3.743 In
0.009 4.825 0.031 In
0.943 4.168 3.295 In
1.621 0.561 5.662 In
2.869 2.636 0.507 In
4.730 1.400 7.007 In
4.004 5.137 4.472 Sn
0.735 1.087 2.566 Sn



Record 3
Zn3In3Sn | Alexandria | PBE | relaxed; calculated total energy = -1.82 eV/atom; formation energy from the elements = 0.471 eV per atom; symmetry = Pm-3n (223); size of the total moment = 0.000 μB per atom
1.0
7.519 0.000 0.000
0.000 7.519 0.000
0.000 0.000 7.519
Zn Sn In
6 2 6
Cartesian
0.000 1.880 3.760 Zn
0.000 5.639 3.760 Zn
3.760 0.000 5.639 Zn
5.639 3.760 0.000 Zn
3.760 0.000 1.880 Zn
1.880 3.760 0.000 Zn
3.760 3.760 3.760 Sn
0.000 0.000 0.000 Sn
1.880 0.000 3.760 In
0.000 3.760 1.880 In
3.760 5.639 0.000 In
5.639 0.000 3.760 In
0.000 3.760 5.639 In
3.760 1.880 0.000 In



Record 4
Zn2InSn | Alexandria | PBE | relaxed; calculated total energy = -2.20 eV/atom; formation energy from the elements = 0.126 eV per atom; symmetry = P4/mmm (123); size of the total moment = 0.000 μB per atom; polymorph energy (0 for the lowest one) = 0.015 eV/atom
1.0
-0.273 2.521 3.258
0.571 -3.552 2.796
4.510 0.636 -0.114
Zn Sn In
2 1 1
Cartesian
2.255 0.318 -0.057 Zn
0.286 -1.776 1.398 Zn
-0.137 1.260 1.629 Sn
2.404 -0.198 2.970 In



Record 5
Zr4InSn | Alexandria | PBE | relaxed; calculated total energy = -7.14 eV/atom; formation energy from the elements = -0.321 eV per atom; symmetry = C2/m (12); size of the total moment = 0.000 μB per atom; polymorph energy (0 for the lowest one) = 0.000 eV/atom
1.0
3.277 0.000 0.948
1.812 5.303 -0.128
-0.496 -1.408 7.854
Zr In Sn
4 1 1
Cartesian
3.230 1.492 7.249 Zr
0.927 -0.445 2.932 Zr
1.363 2.403 1.425 Zr
3.666 4.340 5.741 Zr
0.000 0.000 0.000 In
2.296 1.947 4.337 Sn



Record 6
Zr2InSn | Alexandria | PBE | relaxed; calculated total energy = -6.34 eV/atom; formation energy from the elements = -0.376 eV per atom; symmetry = P4/mmm (123); size of the total moment = 0.000 μB per atom
1.0
4.381 0.000 0.000
0.000 4.514 0.000
0.000 0.000 4.514
Sn Zr In
1 2 1
Cartesian
2.190 2.257 2.257 Sn
0.000 0.000 2.257 Zr
0.000 2.257 0.000 Zr
2.190 0.000 0.000 In